The following is a DFT calculation (GGA-PBE) of RbBaNdCl6 after structural relaxation.

```
data_RbBaNdCl6
_cell_length_a 7.8223
_cell_length_b 7.8223
_cell_length_c 12.7297
_cell_angle_alpha 90.00
_cell_angle_beta 90.00
_cell_angle_gamma 120.00
_space_group_name_H-M_alt 'P -3 1 c'
_space_group_IT_number 163
_space_group_name_Hall '-P 3 2c'
loop_
_atom_site_label
_atom_site_fract_x
_atom_site_fract_y
_atom_site_fract_z
Rb1 0.3333 0.6667 0.2500
Ba1 0.0000 0.0000 0.0000
Nd1 0.3333 0.6667 0.7500
Cl1 0.0536 0.3651 0.6277
```

---

The following is a DFT calculation (GGA-PBE) of Ca2LaDy after structural relaxation.

```
data_Ca2LaDy
_cell_length_a 3.724
_cell_length_b 6.421
_cell_length_c 6.589
_cell_angle_alpha 99.49
_cell_angle_beta 106.37
_cell_angle_gamma 90.07
_space_group_name_H-M_alt 'P -1'
_space_group_IT_number 2
_space_group_name_Hall '-P 1'
loop_
_atom_site_label
_atom_site_fract_x
_atom_site_fract_y
_atom_site_fract_z
Ca1 0.248 0.246 0.496
La1 0.000 0.500 0.000
Dy1 0.500 0.000 0.000
```

Values from the calculation:
The calculated formation energy is 2.5 kcal/mol of atoms. The calculation puts the energy relative to the lowest polymorph listed for this composition at 4 meV/atom.

---

The following is a DFT calculation (GGA-PBE) of SrCoP2 after structural relaxation.

```
data_SrCoP2
_cell_length_a 6.598
_cell_length_b 6.598
_cell_length_c 6.598
_cell_angle_alpha 90.00
_cell_angle_beta 90.00
_cell_angle_gamma 90.00
_space_group_name_H-M_alt 'F m -3 m'
_space_group_IT_number 225
_space_group_name_Hall '-F 4 2 3'
loop_
_atom_site_label
_atom_site_fract_x
_atom_site_fract_y
_atom_site_fract_z
Sr1 0.000 0.000 0.000
Co1 0.000 0.000 0.500
P1 0.250 0.250 0.250
```

Values from the calculation:
The calculated formation energy is 4.2 kcal/mol of atoms. The calculation puts the energy relative to the lowest polymorph listed for this composition at 843 meV/atom.

---

The following is a DFT calculation (GGA-PBE) of NbH3Ru after structural relaxation.

```
data_NbH3Ru
_cell_length_a 3.027
_cell_length_b 3.027
_cell_length_c 9.039
_cell_angle_alpha 90.00
_cell_angle_beta 90.00
_cell_angle_gamma 90.00
_space_group_name_H-M_alt 'I 4 m m'
_space_group_IT_number 107
_space_group_name_Hall 'I 4 -2'
loop_
_atom_site_label
_atom_site_fract_x
_atom_site_fract_y
_atom_site_fract_z
Nb1 0.000 0.000 0.000
H1 0.000 0.000 0.502
H2 0.000 0.500 0.337
Ru1 0.000 0.000 0.697
```

---

The following is a DFT calculation (GGA-PBE) of CaTa2Mo after structural relaxation.

```
data_CaTa2Mo
_cell_length_a 9.727
_cell_length_b 2.759
_cell_length_c 6.020
_cell_angle_alpha 90.00
_cell_angle_beta 90.58
_cell_angle_gamma 90.00
_space_group_name_H-M_alt 'C 1 m 1'
_space_group_IT_number 8
_space_group_name_Hall 'C -2y'
loop_
_atom_site_label
_atom_site_fract_x
_atom_site_fract_y
_atom_site_fract_z
Ca1 0.000 0.000 0.000
Ta1 0.252 0.500 0.293
Ta2 0.492 0.000 0.507
Mo1 0.247 0.000 0.717
```

Values from the calculation:
The calculated formation energy is 14.1 kcal/mol of atoms.

---

The following is a DFT calculation (GGA-PBE) of SrCa2Ni2 after structural relaxation.

```
data_SrCa2Ni2
_cell_length_a 13.292
_cell_length_b 6.228
_cell_length_c 7.705
_cell_angle_alpha 90.00
_cell_angle_beta 120.45
_cell_angle_gamma 90.00
_space_group_name_H-M_alt 'C 1 2/c 1'
_space_group_IT_number 15
_space_group_name_Hall '-C 2yc'
loop_
_atom_site_label
_atom_site_fract_x
_atom_site_fract_y
_atom_site_fract_z
Sr1 0.000 0.128 0.250
Ca1 0.206 0.422 0.798
Ni1 0.039 0.374 0.927
```

Values from the calculation:
The calculated formation energy is -0.8 kcal/mol of atoms. The calculation puts the energy relative to the lowest polymorph listed for this composition at 0 meV/atom.

---

The following is a DFT calculation (GGA-PBE) of LaAuS2 after structural relaxation.

```
data_LaAuS2
_cell_length_a 4.4786
_cell_length_b 4.4786
_cell_length_c 21.7675
_cell_angle_alpha 90.00
_cell_angle_beta 90.00
_cell_angle_gamma 120.00
_space_group_name_H-M_alt 'R -3 m'
_space_group_IT_number 166
_space_group_name_Hall '-R 3 2"'
loop_
_atom_site_label
_atom_site_fract_x
_atom_site_fract_y
_atom_site_fract_z
La1 0.0000 0.0000 0.0000
Au1 0.0000 0.0000 0.5000
S1 0.0000 0.0000 0.3942
```

Values from the calculation:
The calculation puts the energy relative to the lowest polymorph listed for this composition at 43 meV/atom.

---

The following is a DFT calculation (GGA-PBE) of NaYSeN2 after structural relaxation.

```
data_NaYSeN2
_cell_length_a 4.300
_cell_length_b 4.300
_cell_length_c 4.996
_cell_angle_alpha 90.00
_cell_angle_beta 90.00
_cell_angle_gamma 90.00
_space_group_name_H-M_alt 'P 4/m m m'
_space_group_IT_number 123
_space_group_name_Hall '-P 4 2'
loop_
_atom_site_label
_atom_site_fract_x
_atom_site_fract_y
_atom_site_fract_z
Na1 0.000 0.000 0.000
Y1 0.500 0.500 0.500
Se1 0.000 0.000 0.500
N1 0.000 0.500 0.000
```

Values from the calculation:
The calculation puts the energy relative to the lowest polymorph listed for this composition at 638 meV/atom.

---

The following is a DFT calculation (GGA-PBE) of Na2AlOs2 after structural relaxation.

```
data_Na2AlOs2
_cell_length_a 8.483
_cell_length_b 8.483
_cell_length_c 2.507
_cell_angle_alpha 90.00
_cell_angle_beta 90.00
_cell_angle_gamma 90.00
_space_group_name_H-M_alt 'P 4/m b m'
_space_group_IT_number 127
_space_group_name_Hall '-P 4 2ab'
loop_
_atom_site_label
_atom_site_fract_x
_atom_site_fract_y
_atom_site_fract_z
Na1 0.104 0.396 0.000
Al1 0.000 0.000 0.000
Os1 0.194 0.694 0.500
```

Values from the calculation:
The calculated formation energy is 29.2 kcal/mol of atoms. The calculation puts the energy relative to the lowest polymorph listed for this composition at 441 meV/atom.

---

The following is a DFT calculation (GGA-PBE) of Ti2GaPd2 after structural relaxation.

```
data_Ti2GaPd2
_cell_length_a 7.181
_cell_length_b 7.181
_cell_length_c 3.177
_cell_angle_alpha 90.00
_cell_angle_beta 90.00
_cell_angle_gamma 90.00
_space_group_name_H-M_alt 'P 4/m b m'
_space_group_IT_number 127
_space_group_name_Hall '-P 4 2ab'
loop_
_atom_site_label
_atom_site_fract_x
_atom_site_fract_y
_atom_site_fract_z
Ti1 0.170 0.330 0.000
Ga1 0.000 0.000 0.500
Pd1 0.132 0.632 0.500
```

Values from the calculation:
The calculated formation energy is -11.5 kcal/mol of atoms. The calculation puts the energy relative to the lowest polymorph listed for this composition at 0 meV/atom.

---

The following is a DFT calculation (GGA-PBE) of Ce2Br3O after structural relaxation.

```
data_Ce2Br3O
_cell_length_a 18.034
_cell_length_b 4.109
_cell_length_c 11.559
_cell_angle_alpha 90.00
_cell_angle_beta 122.58
_cell_angle_gamma 90.00
_space_group_name_H-M_alt 'C 1 2/m 1'
_space_group_IT_number 12
_space_group_name_Hall '-C 2y'
loop_
_atom_site_label
_atom_site_fract_x
_atom_site_fract_y
_atom_site_fract_z
Ce1 0.077 0.000 0.457
Ce2 0.133 0.500 0.782
Br1 0.042 0.500 0.240
Br2 0.166 0.000 0.009
Br3 0.222 0.500 0.619
O1 0.081 0.000 0.665
```

---

The following is a DFT calculation (GGA-PBE) of Er2MgCu after structural relaxation.

```
data_Er2MgCu
_cell_length_a 7.184
_cell_length_b 7.184
_cell_length_c 7.184
_cell_angle_alpha 90.00
_cell_angle_beta 90.00
_cell_angle_gamma 90.00
_space_group_name_H-M_alt 'F m -3 m'
_space_group_IT_number 225
_space_group_name_Hall '-F 4 2 3'
loop_
_atom_site_label
_atom_site_fract_x
_atom_site_fract_y
_atom_site_fract_z
Er1 0.250 0.250 0.250
Mg1 0.000 0.000 0.000
Cu1 0.000 0.000 0.500
```

Values from the calculation:
The calculated formation energy is -1.6 kcal/mol of atoms. The calculation puts the energy relative to the lowest polymorph listed for this composition at 91 meV/atom.

---

The following is a DFT calculation (GGA-PBE) of VTcN3 after structural relaxation.

```
data_VTcN3
_cell_length_a 3.788
_cell_length_b 3.788
_cell_length_c 3.788
_cell_angle_alpha 90.00
_cell_angle_beta 90.00
_cell_angle_gamma 90.00
_space_group_name_H-M_alt 'P m -3 m'
_space_group_IT_number 221
_space_group_name_Hall '-P 4 2 3'
loop_
_atom_site_label
_atom_site_fract_x
_atom_site_fract_y
_atom_site_fract_z
V1 0.000 0.000 0.000
Tc1 0.500 0.500 0.500
N1 0.000 0.000 0.500
```

---

no.,DOS(E_F) (states/eV per atom),total energy (eV/cell)
1,0.00,-78.5
2,1.82,-13.1
3,0.79,-75.5
4,0.26,-59.4
5,0.81,-68.2
6,0.75,-69.7
7,0.00,-65.6
8,0.60,-23.4
9,1.03,-45.0
10,0.79,-63.4
11,2.17,-140.7
12,0.97,-60.3
13,0.46,-40.4